No. 1
A geometry-optimized Li2LaAs structure. Source: Alexandria via LeMat-Bulk, functional GGA-PBE.

Structure (POSCAR):
```
Li2LaAs
1.0
4.972 0.000 0.000
2.486 4.306 0.000
2.486 1.435 4.059
Li La As
2 1 1
direct
0.000 0.000 0.000
0.250 0.250 0.250
0.750 0.750 0.750
0.500 0.500 0.500
```

Final energy   -3.863 eV per atom
Energy relative to the elements   -0.512 eV per atom
Symmetry   F-43m (216)



No. 2
A geometry-optimized Li2LaAs structure. Source: Alexandria via LeMat-Bulk, functional GGA-PBE.

Structure (POSCAR):
```
Li2LaAs
1.0
-0.815 -3.321 2.301
1.865 -2.336 -2.710
5.994 -0.338 1.636
Li La As
2 1 1
direct
0.000 0.975 0.163
0.500 0.449 0.213
0.500 0.750 0.646
0.000 0.327 0.478
```

Final energy   -4.015 eV per atom
Energy relative to the elements   -0.664 eV per atom
Symmetry   Pm (6)



No. 3
A geometry-optimized LiLaAs2 structure. Source: Alexandria via LeMat-Bulk, functional GGA-PBE.

Structure (POSCAR):
```
LiLaAs2
1.0
-4.221 -7.893 -2.748
-1.095 -9.165 -1.571
-3.755 -8.546 0.734
Li As La
1 2 1
direct
0.730 0.730 0.730
0.992 0.992 0.992
0.269 0.269 0.269
0.510 0.510 0.510
```

Final energy   -4.108 eV per atom
Energy relative to the elements   -0.073 eV per atom
Offset from the most stable computed form   970 meV/atom
Symmetry   R3m (160)



No. 4
A geometry-optimized Li2LaAs structure. Source: Alexandria via LeMat-Bulk, functional GGA-PBE.

Structure (POSCAR):
```
Li2LaAs
1.0
6.326 0.088 0.009
3.319 5.386 -0.009
-4.515 -3.280 2.982
Li As La
2 1 1
direct
0.545 0.545 0.000
0.955 0.955 0.000
0.750 0.250 0.500
0.250 0.750 0.500
```

Final energy   -3.832 eV per atom
Energy relative to the elements   -0.481 eV per atom
Symmetry   Immm (71)



No. 5
A geometry-optimized Li2LaAs structure. Source: Alexandria via LeMat-Bulk, functional GGA-PBE.

Structure (POSCAR):
```
Li2LaAs
1.0
3.827 0.198 0.000
-0.211 3.826 0.000
0.000 0.000 6.799
Li La As
2 1 1
direct
0.500 0.500 0.247
0.000 0.000 0.087
0.500 0.500 0.686
0.000 0.000 0.480
```

Final energy   -3.833 eV per atom
Energy relative to the elements   -0.482 eV per atom
Symmetry   Cmm2 (35)



No. 6
A geometry-optimized Li3LaAs structure. Source: Alexandria via LeMat-Bulk, functional GGA-PBE.

Structure (POSCAR):
```
Li3LaAs
1.0
5.293 0.000 0.000
0.000 5.293 0.000
0.000 0.000 5.293
La Li As
1 3 1
direct
0.000 0.000 0.000
0.000 0.500 0.000
0.500 0.000 0.000
0.000 0.000 0.500
0.500 0.500 0.500
```

Final energy   -1.941 eV per atom
Energy relative to the elements   1.123 eV per atom
Offset from the most stable computed form   1347 meV/atom
Symmetry   Pm-3m (221)



No. 7
A geometry-optimized LiLaAs structure. Source: Alexandria via LeMat-Bulk, functional GGA-PBE.

Structure (POSCAR):
```
LiLaAs
1.0
4.302 0.000 0.000
-2.151 3.726 0.000
0.000 0.000 4.223
Li As La
1 1 1
direct
0.333 0.667 0.833
0.000 0.000 0.833
0.667 0.333 0.333
```

Final energy   -4.885 eV per atom
Energy relative to the elements   -1.055 eV per atom
Offset from the most stable computed form   0 meV/atom
Symmetry   P-6m2 (187)



No. 8
A geometry-optimized Li2LaAs structure. Source: Alexandria via LeMat-Bulk, functional GGA-PBE.

Structure (POSCAR):
```
Li2LaAs
1.0
6.986 0.136 -0.233
5.615 4.158 -0.233
-0.835 -0.284 4.139
Li La As
2 1 1
direct
0.555 0.555 0.551
0.945 0.945 0.949
0.250 0.250 0.250
0.750 0.750 0.750
```

Final energy   -3.934 eV per atom
Energy relative to the elements   -0.582 eV per atom
Symmetry   C2/m (12)



No. 9
A geometry-optimized Li2LaAs structure. Source: Alexandria via LeMat-Bulk, functional GGA-PBE.

Structure (POSCAR):
```
Li2LaAs
1.0
4.262 0.000 0.000
-2.115 6.140 0.014
0.033 1.469 3.999
La As Li
1 1 2
direct
0.500 0.500 0.000
0.000 0.500 0.500
0.500 0.000 0.500
0.000 0.000 0.000
```

Final energy   -3.780 eV per atom
Energy relative to the elements   -0.429 eV per atom
Symmetry   Fmmm (69)



No. 10
A geometry-optimized Li2LaAs structure. Source: Alexandria via LeMat-Bulk, functional GGA-PBE.

Structure (POSCAR):
```
Li2LaAs
1.0
4.311 0.002 -0.001
2.153 3.735 -0.001
2.154 1.245 5.356
Li As La
2 1 1
direct
0.760 0.760 0.719
0.047 0.047 0.858
0.446 0.446 0.661
0.246 0.246 0.262
```

Final energy   -4.031 eV per atom
Energy relative to the elements   -0.679 eV per atom
Symmetry   R3m (160)



No. 11
A geometry-optimized LiLa4As structure. Source: Alexandria via LeMat-Bulk, functional GGA-PBE.

Structure (POSCAR):
```
LiLa4As
1.0
0.740 -4.895 4.146
-0.645 1.017 6.344
-5.118 -2.369 3.146
La As Li
4 1 1
direct
0.372 0.883 0.372
0.883 0.372 0.372
0.372 0.372 0.883
0.372 0.372 0.372
0.000 0.000 0.000
0.750 0.750 0.750
```

Final energy   -4.145 eV per atom
Energy relative to the elements   0.234 eV per atom
Symmetry   F-43m (216)



No. 12
A geometry-optimized Li2LaAs structure. Source: Alexandria via LeMat-Bulk, functional GGA-PBE.

Structure (POSCAR):
```
Li2LaAs
1.0
4.318 0.000 0.000
0.000 4.318 0.000
2.159 2.159 10.326
Li La As
4 2 2
direct
0.375 0.794 0.750
0.206 0.125 0.250
0.875 0.456 0.750
0.544 0.625 0.250
0.750 0.250 0.500
0.000 0.000 0.000
0.500 0.500 0.000
0.250 0.750 0.500
```

Final energy   -3.857 eV per atom
Energy relative to the elements   -0.505 eV per atom
Symmetry   I-42d (122)



No. 13
A geometry-optimized LiLaAs2 structure. Source: Alexandria via LeMat-Bulk, functional GGA-PBE.

Structure (POSCAR):
```
LiLaAs2
1.0
-5.590 -6.344 4.020
-4.384 -8.132 1.517
-2.671 -7.860 4.329
As Li La
2 1 1
direct
0.490 0.490 0.490
0.010 0.010 0.010
0.750 0.750 0.750
0.250 0.250 0.250
```

Final energy   -4.435 eV per atom
Energy relative to the elements   -0.400 eV per atom
Offset from the most stable computed form   642 meV/atom
Symmetry   R-3m (166)



No. 14
A geometry-optimized LiLaAs2 structure. Source: Alexandria via LeMat-Bulk, functional GGA-PBE.

Structure (POSCAR):
```
LiLaAs2
1.0
5.204 0.004 -0.008
0.827 5.138 0.008
-3.007 -2.581 3.373
As Li La
2 1 1
direct
0.500 0.500 0.000
0.000 0.000 0.000
0.250 0.750 0.500
0.750 0.250 0.500
```

Final energy   -4.836 eV per atom
Energy relative to the elements   -0.801 eV per atom
Offset from the most stable computed form   241 meV/atom
Symmetry   I4/mmm (139)



No. 15
A geometry-optimized LiLaAs2 structure. Source: Alexandria via LeMat-Bulk, functional GGA-PBE.

Structure (POSCAR):
```
LiLaAs2
1.0
-3.630 2.341 -3.893
-5.137 1.926 1.926
5.613 0.585 1.403
La Li As
1 1 2
direct
0.499 0.499 0.000
0.246 0.746 0.500
0.756 0.256 0.500
0.999 0.999 0.000
```

Final energy   -4.762 eV per atom
Energy relative to the elements   -0.727 eV per atom
Offset from the most stable computed form   316 meV/atom
Symmetry   Imm2 (44)